Entry 1:
Nd2CdCu2: relaxed, GGA-PBEsol.

The structure in POSCAR format:
```
Nd2CdCu2
1.0
3.640 0.000 0.000
0.000 4.237 0.000
0.000 2.119 7.119
Nd Cu Cd
2 2 1
Cartesian
0.000 2.119 1.889
0.000 4.237 5.230
1.820 2.119 4.238
1.820 4.237 2.881
1.820 0.000 0.000
```

## Properties
SG: No. 65


Entry 2:
AlTc2Ru: relaxed, GGA-PBEsol.

The structure in POSCAR format:
```
AlTc2Ru
1.0
-0.487 2.473 -0.913
-0.349 -1.954 -1.803
-8.167 -0.733 2.374
Ru Tc Al
1 2 1
Cartesian
-2.514 0.072 -0.749
-8.160 -0.733 2.371
-6.530 -0.289 0.418
-4.050 -0.364 1.177
```

## Properties
SG: No. 35
E above lowest polymorph: 0.2884 eV per atom


no.,final energy (Ry/atom),E_form (eV/atom)
1,-0.315,-0.25
2,-0.671,0.06